[1]
{
  "formula": "CsTcOsRu2",
  "functional": "PBE-GGA",
  "state": "optimized geometry",
  "magnetic_moment_mub_per_cell": 2.2,
  "dos_at_fermi_per_ev_cell": 5.6,
  "e_form_ev_per_atom": 1.70,
  "lattice_angstrom": [[-0.5775, 3.4070, 3.4293], [-4.3041, -1.9496, 1.2122], [2.2172, -2.8823, 3.2369]],
  "species": ["Tc", "Os", "Ru", "Cs", "Ru"],
  "fractional_positions": [[0.0000, 0.5000, 0.0000], [0.0000, 0.0000, 0.0000], [0.0000, 0.0000, 0.5000], [0.5000, 0.5000, 0.5000], [0.5000, 0.0000, 0.0000]]
}

[2]
{
  "formula": "CsZnOsRu2",
  "functional": "PBE-GGA",
  "state": "optimized geometry",
  "magnetic_moment_mub_per_cell": 3.4,
  "dos_at_fermi_per_ev_cell": 9.3,
  "e_form_ev_per_atom": 3.20,
  "lattice_angstrom": [[4.8899, 0.0000, 0.0000], [0.0000, 5.0011, 0.0000], [0.0000, 0.0000, 4.8899]],
  "species": ["Cs", "Os", "Ru", "Zn", "Ru"],
  "fractional_positions": [[0.0000, 0.0000, 0.0000], [0.0000, 0.5000, 0.0000], [0.0000, 0.0000, 0.5000], [0.5000, 0.5000, 0.5000], [0.5000, 0.0000, 0.0000]]
}

[3]
{
  "formula": "CsZr2OsRu",
  "functional": "PBE-GGA",
  "state": "optimized geometry",
  "magnetic_moment_mub_per_cell": 1.1,
  "dos_at_fermi_per_ev_cell": 5.9,
  "e_form_ev_per_atom": 1.63,
  "lattice_angstrom": [[-4.8173, 0.1593, 1.2979], [0.4704, -4.8296, 2.3390], [1.2328, 2.2051, 4.3051]],
  "species": ["Os", "Ru", "Zr", "Cs", "Zr"],
  "fractional_positions": [[0.5000, 0.5000, 0.5000], [0.0000, 0.0000, 0.0000], [0.5000, 0.0000, 0.0000], [0.0000, 0.5000, 0.0000], [0.0000, 0.0000, 0.5000]]
}

[4]
{
  "formula": "Cs2OsS",
  "functional": "PBE-GGA",
  "state": "optimized geometry",
  "magnetic_moment_mub_per_cell": 0.0,
  "dos_at_fermi_per_ev_cell": 6.0,
  "formation_energy_uncorrected_ev_per_atom": 0.18,
  "lattice_angstrom": [[-0.3666, -7.2126, -6.0836], [-3.6839, 5.6720, 6.5897], [-0.9594, 6.4607, -6.8195]],
  "species": ["Cs", "S", "S", "Os", "Cs", "Cs", "Os", "Cs"],
  "fractional_positions": [[0.6250, 0.9519, 0.8269], [0.7500, 0.2500, 0.5000], [0.5000, 0.5000, 0.0000], [0.2500, 0.7500, 0.5000], [0.1250, 0.7981, 0.1731], [0.0481, 0.8750, 0.6731], [0.0000, 0.0000, 0.0000], [0.2019, 0.3750, 0.3269]]
}